*a*
CuWCl2: optimized geometry, PBE-GGA.

a b c (Å): 3.188 3.230 8.021
angles (deg): 90.00 100.87 90.00
Atoms (fractional coordinates):
Cu: 0.000 0.000 0.000
W: 0.578 0.500 0.164
Cl: 0.424 0.500 0.841
Cl: 0.685 0.000 0.391

Calculated values
DOS at the Fermi energy: 0.756 states/eV/atom
Calculated volume: 81 Å³/f.u.
SG: Pm
Spin magnetization: 0.000 μB/f.u.


*b*
CuWCl2: optimized geometry, PBE-GGA.

a b c (Å): 6.688 6.688 6.688
angles (deg): 154.96 140.10 47.69
Atoms (fractional coordinates):
Cu: 0.000 0.000 0.000
W: 0.177 0.677 0.500
Cl: 0.344 0.344 0.000
Cl: 0.662 0.162 0.500

Calculated values
DOS at the Fermi energy: 0.529 states/eV/atom
Calculated volume: 81 Å³/f.u.
SG: Imm2
Spin magnetization: 1.397 μB/f.u.


*c*
CuWCl2: optimized geometry, PBE-GGA.

a b c (Å): 6.171 6.171 6.171
angles (deg): 124.08 124.08 83.06
Atoms (fractional coordinates):
Cu: 0.000 0.000 0.000
Cu: 0.750 0.250 0.500
W: 0.250 0.750 0.500
W: 0.500 0.500 0.000
Cl: 0.110 0.625 0.985
Cl: 0.375 0.360 0.485
Cl: 0.640 0.125 0.015
Cl: 0.875 0.890 0.515

Calculated values
DOS at the Fermi energy: 0.284 states/eV/atom
Calculated volume: 77 Å³/f.u.
SG: I-42d
Spin magnetization: 1.048 μB/f.u.


Energy ordering: *a* at the bottom, the next structure 44.5 kJ/mol of atoms above.


*a*
CuWCl2: optimized geometry, PBE-GGA.

a b c (Å): 6.408 6.408 6.408
angles (deg): 147.75 147.75 46.25
Atoms (fractional coordinates):
Cu: 0.000 0.000 0.000
W: 0.250 0.750 0.500
Cl: 0.500 0.500 0.000
Cl: 0.750 0.250 0.500

Calculated values
DOS at the Fermi energy: 0.527 states/eV/atom
Calculated volume: 75 Å³/f.u.
SG: I-4m2
Spin magnetization: 3.464 μB/f.u.


*b*
CuWCl2: optimized geometry, PBE-GGA.

a b c (Å): 7.542 7.542 4.562
angles (deg): 107.28 107.28 22.18
Atoms (fractional coordinates):
Cu: 0.000 0.000 0.000
W: 0.500 0.500 0.500
Cl: 0.141 0.141 0.637
Cl: 0.859 0.859 0.363

Calculated values
DOS at the Fermi energy: 0.599 states/eV/atom
Calculated volume: 93 Å³/f.u.
SG: C2/m
Spin magnetization: 0.895 μB/f.u.


Energy ordering: *b* at the bottom, the next structure 85.8 kJ/mol of atoms above.